[1]
TmHf3Sb2: relaxed, PBE.

a b c (Å): 3.977 9.915 8.989
angles (deg): 123.88 90.00 101.57
Atoms (fractional coordinates):
Tm (0.886, 0.772, 0.894)
Tm (0.114, 0.228, 0.106)
Hf (0.312, 0.624, 0.520)
Hf (0.941, 0.882, 0.544)
Hf (0.632, 0.265, 0.787)
Hf (0.368, 0.735, 0.213)
Hf (0.059, 0.118, 0.456)
Hf (0.688, 0.376, 0.480)
Sb (0.488, 0.976, 0.815)
Sb (0.512, 0.024, 0.185)
Sb (0.753, 0.506, 0.218)
Sb (0.247, 0.494, 0.782)

DFT total energy	-7.52	eV per atom
SG	C2/m, No. 12
E_form (uncorrected)	-422	meV/atom
theoretical density	11025	kg/m³



[2]
TmHfSb2: relaxed, PBE.

a b c (Å): 4.190 4.190 7.358
angles (deg): 73.46 73.46 60.00
Atoms (fractional coordinates):
Sb (0.254, 0.254, 0.237)
Sb (0.746, 0.746, 0.763)
Tm (0.500, 0.500, 0.500)
Hf (0.000, 0.000, 0.000)

DFT total energy	-6.38	eV per atom
SG	R-3m, No. 166
E_form (uncorrected)	-712	meV/atom
theoretical density	9290	kg/m³